[1]
# Ho3Pd2Pt

A geometry-optimized Ho3Pd2Pt structure (PBE, the Alexandria database).

Structure (POSCAR):
```
Ho3Pd2Pt
1.0
5.658 0.000 0.000
0.000 6.519 0.019
-2.829 -1.589 7.110
Ho Pd Pt
6 4 2
Direct
0.355 0.250 0.000 Ho
0.645 0.750 0.000 Ho
0.072 0.140 0.348 Ho
0.723 0.360 0.652 Ho
0.277 0.640 0.348 Ho
0.928 0.860 0.652 Ho
0.762 0.506 0.327 Pd
0.565 0.006 0.327 Pd
0.435 0.994 0.673 Pd
0.238 0.494 0.673 Pd
0.142 0.750 0.000 Pt
0.858 0.250 0.000 Pt
```

Output
SG ... C2/c, No. 15
Calculated volume ... 21.9 Å³/atom
Formation enthalpy at 0 K ... -0.950 eV/atom


[2]
# Sm2UZnRh6

A geometry-optimized Sm2UZnRh6 structure (PBE, the Alexandria database).

Structure (POSCAR):
```
Sm2UZnRh6
1.0
-5.101 -3.259 2.398
3.862 -4.360 -2.663
-0.143 -4.146 5.001
Sm U Zn Rh
2 1 1 6
Direct
0.268 0.763 0.505 Sm
0.732 0.237 0.495 Sm
0.500 0.500 0.000 U
0.000 0.000 0.000 Zn
0.192 0.685 0.013 Rh
0.754 0.934 0.819 Rh
0.302 0.316 0.494 Rh
0.808 0.315 0.987 Rh
0.246 0.066 0.181 Rh
0.698 0.684 0.506 Rh
```

Output
SG ... P-1, No. 2
Calculated volume ... 18.9 Å³/atom
Formation enthalpy at 0 K ... -0.525 eV/atom


Across the entries above, raw total energy takes the values -5.9761, -7.1360 eV per atom, respectively.